A plane-wave DFT calculation with GGA-PBE was carried out for a relaxed Nd4Ga12Co crystal.

a = 8.753 Å, b = 8.753 Å, c = 8.753 Å
α = 90.00°, β = 90.00°, γ = 90.00°
Space group Im-3m (No. 229)
Asymmetric unit:
Nd (0.250, 0.250, 0.250) (multiplicity 8)
Ga (0.000, 0.000, 0.282) (multiplicity 12)
Ga (0.000, 0.250, 0.500) (multiplicity 12)
Co (0.000, 0.000, 0.000) (multiplicity 2)

Calculated values
The calculation puts the formation energy from the elements at -0.554 eV/atom.